(1)
A plane-wave DFT calculation with PBE-GGA was carried out for crystalline Pr2Y7Ho at its relaxed geometry.

Lattice parameters (Å, degrees): 14.923 14.923 3.532 90.00 90.00 154.59
Element x y z (fractional)
Pr 0.207 0.793 0.000
Pr 0.793 0.207 0.000
Y 0.000 0.000 0.000
Y 0.157 0.352 0.000
Y 0.315 0.685 0.500
Y 0.352 0.157 0.000
Y 0.648 0.843 0.000
Y 0.685 0.315 0.500
Y 0.843 0.648 0.000
Ho 0.500 0.500 0.500

Values from the calculation:
Total moment ... 0.0 μB per cell
Distance to the lowest polymorph of the same formula ... 0.1386 eV per atom
Calculated formation energy ... 0.1579 eV per atom
E ... -0.425 Ry/atom

=====

(2)
A plane-wave DFT calculation with PBE-GGA was carried out for crystalline KTe2Pd3 at its relaxed geometry.

Lattice parameters (Å, degrees): 8.372 8.372 9.350 111.79 111.79 29.38
Element x y z (fractional)
K 0.148 0.148 0.060
K 0.852 0.852 0.940
Te 0.190 0.190 0.674
Te 0.482 0.482 0.794
Te 0.518 0.518 0.206
Te 0.810 0.810 0.326
Pd 0.050 0.050 0.391
Pd 0.317 0.317 0.564
Pd 0.416 0.416 0.372
Pd 0.584 0.584 0.628
Pd 0.683 0.683 0.436
Pd 0.950 0.950 0.609

Values from the calculation:
Total moment ... 0.0 μB per cell
E ... -0.316 Ry/atom

=====

(3)
A plane-wave DFT calculation with PBE-GGA was carried out for crystalline AcHoZnPd at its relaxed geometry.

Lattice parameters (Å, degrees): 7.409 7.409 7.409 90.00 90.00 90.00
Element x y z (fractional)
Ac 0.000 0.000 0.000
Ac 0.000 0.500 0.500
Ac 0.500 0.000 0.500
Ac 0.500 0.500 0.000
Ho 0.000 0.000 0.500
Ho 0.000 0.500 0.000
Ho 0.500 0.000 0.000
Ho 0.500 0.500 0.500
Zn 0.250 0.250 0.750
Zn 0.250 0.750 0.250
Zn 0.750 0.250 0.250
Zn 0.750 0.750 0.750
Pd 0.250 0.250 0.250
Pd 0.250 0.750 0.750
Pd 0.750 0.250 0.750
Pd 0.750 0.750 0.250

Values from the calculation:
Total moment ... 0.0 μB per cell
Calculated formation energy ... -0.4732 eV per atom
E ... -0.313 Ry/atom

=====

(4)
A plane-wave DFT calculation with PBE-GGA was carried out for crystalline Ce5HgAu3 at its relaxed geometry.

Lattice parameters (Å, degrees): 9.410 9.410 6.135 90.00 90.00 120.00
Element x y z (fractional)
Ce 0.000 0.309 0.250
Ce 0.000 0.691 0.750
Ce 0.309 0.000 0.250
Ce 0.309 0.309 0.750
Ce 0.333 0.667 0.000
Ce 0.333 0.667 0.500
Ce 0.667 0.333 0.000
Ce 0.667 0.333 0.500
Ce 0.691 0.000 0.750
Ce 0.691 0.691 0.250
Hg 0.000 0.000 0.000
Hg 0.000 0.000 0.500
Au 0.000 0.362 0.750
Au 0.000 0.638 0.250
Au 0.362 0.000 0.750
Au 0.362 0.362 0.250
Au 0.638 0.000 0.250
Au 0.638 0.638 0.750

Values from the calculation:
Total moment ... 14.2 μB per cell
Calculated formation energy ... -0.4097 eV per atom
E ... -0.355 Ry/atom

=====

(5)
A plane-wave DFT calculation with PBE-GGA was carried out for crystalline Pm3Pr4Sm2 at its relaxed geometry.

Lattice parameters (Å, degrees): 3.669 3.669 27.436 90.00 90.00 120.00
Element x y z (fractional)
Pm 0.000 0.000 0.000
Pm 0.000 0.000 0.338
Pm 0.667 0.333 0.671
Pr 0.000 0.000 0.561
Pr 0.000 0.000 0.782
Pr 0.667 0.333 0.231
Pr 0.667 0.333 0.450
Sm 0.667 0.333 0.104
Sm 0.667 0.333 0.890

Values from the calculation:
Total moment ... 0.0 μB per cell
Distance to the lowest polymorph of the same formula ... 0.0494 eV per atom
Calculated formation energy ... 0.0626 eV per atom
E ... -0.345 Ry/atom

=====

(6)
A plane-wave DFT calculation with PBE-GGA was carried out for crystalline CoAgTe at its relaxed geometry.

Lattice parameters (Å, degrees): 6.151 6.151 6.151 90.00 90.00 90.00
Element x y z (fractional)
Co 0.000 0.000 0.000
Co 0.000 0.500 0.500
Co 0.500 0.000 0.500
Co 0.500 0.500 0.000
Ag 0.250 0.250 0.250
Ag 0.250 0.750 0.750
Ag 0.750 0.250 0.750
Ag 0.750 0.750 0.250
Te 0.250 0.250 0.750
Te 0.250 0.750 0.250
Te 0.750 0.250 0.250
Te 0.750 0.750 0.750

Values from the calculation:
Total moment ... 5.6 μB per cell
Distance to the lowest polymorph of the same formula ... 0.0733 eV per atom
E ... -0.309 Ry/atom

=====

(7)
A plane-wave DFT calculation with PBE-GGA was carried out for crystalline CdCuAsN2 at its relaxed geometry.

Lattice parameters (Å, degrees): 3.837 3.837 5.102 90.00 90.00 90.00
Element x y z (fractional)
Cd 0.000 0.000 0.000
Cu 0.500 0.500 0.500
As 0.500 0.500 0.000
N 0.000 0.500 0.500
N 0.500 0.000 0.500

Values from the calculation:
Total moment ... 0.0 μB per cell
E ... -0.279 Ry/atom

=====

(8)
A plane-wave DFT calculation with PBE-GGA was carried out for crystalline LaMg3Pd3 at its relaxed geometry.

Lattice parameters (Å, degrees): 7.005 7.005 7.005 90.00 90.00 90.00
Element x y z (fractional)
La 0.000 0.000 0.000
La 0.500 0.500 0.500
Mg 0.000 0.250 0.500
Mg 0.000 0.750 0.500
Mg 0.250 0.500 0.000
Mg 0.500 0.000 0.250
Mg 0.500 0.000 0.750
Mg 0.750 0.500 0.000
Pd 0.000 0.500 0.250
Pd 0.000 0.500 0.750
Pd 0.250 0.000 0.500
Pd 0.500 0.250 0.000
Pd 0.500 0.750 0.000
Pd 0.750 0.000 0.500

Values from the calculation:
Total moment ... 0.4 μB per cell
Calculated formation energy ... -0.1725 eV per atom
E ... -0.278 Ry/atom

=====

(9)
A plane-wave DFT calculation with PBE-GGA was carried out for crystalline Hf2Zn2F at its relaxed geometry.

Lattice parameters (Å, degrees): 6.194 6.194 4.515 90.00 90.00 90.00
Element x y z (fractional)
Hf 0.165 0.335 0.000
Hf 0.335 0.835 0.000
Hf 0.665 0.165 0.000
Hf 0.835 0.665 0.000
Zn 0.145 0.645 0.500
Zn 0.355 0.145 0.500
Zn 0.645 0.855 0.500
Zn 0.855 0.355 0.500
F 0.000 0.000 0.000
F 0.500 0.500 0.000

Values from the calculation:
Total moment ... 0.0 μB per cell
E ... -0.413 Ry/atom

=====

(10)
A plane-wave DFT calculation with PBE-GGA was carried out for crystalline CuH2I at its relaxed geometry.

Lattice parameters (Å, degrees): 5.823 5.823 5.823 90.00 90.00 90.00
Element x y z (fractional)
Cu 0.000 0.000 0.000
Cu 0.000 0.500 0.500
Cu 0.500 0.000 0.500
Cu 0.500 0.500 0.000
H 0.250 0.250 0.250
H 0.250 0.250 0.750
H 0.250 0.750 0.250
H 0.250 0.750 0.750
H 0.750 0.250 0.250
H 0.750 0.250 0.750
H 0.750 0.750 0.250
H 0.750 0.750 0.750
I 0.000 0.000 0.500
I 0.000 0.500 0.000
I 0.500 0.000 0.000
I 0.500 0.500 0.500

Values from the calculation:
Total moment ... 0.0 μB per cell
Distance to the lowest polymorph of the same formula ... 1.1170 eV per atom
E ... -0.149 Ry/atom

=====

(11)
A plane-wave DFT calculation with PBE-GGA was carried out for crystalline DyZn8 at its relaxed geometry.

Lattice parameters (Å, degrees): 6.375 6.375 6.375 96.08 96.08 142.01
Element x y z (fractional)
Dy 0.000 0.000 0.000
Zn 0.000 0.345 0.345
Zn 0.000 0.655 0.655
Zn 0.320 0.320 0.640
Zn 0.320 0.680 0.000
Zn 0.345 0.000 0.345
Zn 0.655 0.000 0.655
Zn 0.680 0.320 0.000
Zn 0.680 0.680 0.360

Values from the calculation:
Total moment ... 0.0 μB per cell
Calculated formation energy ... -0.1163 eV per atom
E ... -0.129 Ry/atom

=====

(12)
A plane-wave DFT calculation with PBE-GGA was carried out for crystalline TbCe4In at its relaxed geometry.

Lattice parameters (Å, degrees): 9.647 9.647 5.526 90.00 90.00 140.36
Element x y z (fractional)
Tb 0.120 0.880 0.750
Tb 0.880 0.120 0.250
Ce 0.038 0.445 0.750
Ce 0.229 0.332 0.750
Ce 0.332 0.229 0.250
Ce 0.445 0.038 0.250
Ce 0.555 0.962 0.750
Ce 0.668 0.771 0.750
Ce 0.771 0.668 0.250
Ce 0.962 0.555 0.250
In 0.373 0.627 0.250
In 0.627 0.373 0.750

Values from the calculation:
Total moment ... 3.6 μB per cell
Calculated formation energy ... -0.0879 eV per atom
E ... -0.387 Ry/atom

=====

(13)
A plane-wave DFT calculation with PBE-GGA was carried out for crystalline MgSiRh at its relaxed geometry.

Lattice parameters (Å, degrees): 4.151 4.151 3.115 90.00 90.00 120.00
Element x y z (fractional)
Mg 0.000 0.000 0.000
Si 0.333 0.667 0.500
Rh 0.667 0.333 0.500

Values from the calculation:
Total moment ... 0.0 μB per cell
E ... -0.393 Ry/atom

=====

(14)
A plane-wave DFT calculation with PBE-GGA was carried out for crystalline Mg2NbAu2 at its relaxed geometry.

Lattice parameters (Å, degrees): 7.897 7.897 2.900 90.00 90.00 90.00
Element x y z (fractional)
Mg 0.131 0.369 0.000
Mg 0.369 0.869 0.000
Mg 0.631 0.131 0.000
Mg 0.869 0.631 0.000
Nb 0.000 0.000 0.000
Nb 0.500 0.500 0.000
Au 0.168 0.668 0.500
Au 0.332 0.168 0.500
Au 0.668 0.832 0.500
Au 0.832 0.332 0.500

Values from the calculation:
Total moment ... 1.6 μB per cell
Distance to the lowest polymorph of the same formula ... 0.0196 eV per atom
Calculated formation energy ... -0.1397 eV per atom
E ... -0.302 Ry/atom

=====

(15)
A plane-wave DFT calculation with PBE-GGA was carried out for crystalline CePRu at its relaxed geometry.

Lattice parameters (Å, degrees): 6.631 4.237 5.388 90.00 125.34 90.00
Element x y z (fractional)
Ce 0.000 0.000 0.000
Ce 0.500 0.500 0.000
P 0.034 0.500 0.393
P 0.534 0.000 0.393
Ru 0.449 0.500 0.517
Ru 0.949 0.000 0.517

Values from the calculation:
Total moment ... 0.0 μB per cell
Calculated formation energy ... -0.8393 eV per atom
E ... -0.567 Ry/atom

=====

(16)
A plane-wave DFT calculation with PBE-GGA was carried out for crystalline InAu2Se at its relaxed geometry.

Lattice parameters (Å, degrees): 4.364 4.364 8.597 90.00 90.00 90.00
Element x y z (fractional)
In 0.000 0.000 0.000
In 0.500 0.500 0.500
Au 0.000 0.000 0.500
Au 0.000 0.500 0.250
Au 0.500 0.000 0.750
Au 0.500 0.500 0.000
Se 0.000 0.500 0.750
Se 0.500 0.000 0.250

Values from the calculation:
Total moment ... 0.0 μB per cell
Distance to the lowest polymorph of the same formula ... 0.2131 eV per atom
E ... -0.227 Ry/atom

=====

(17)
A plane-wave DFT calculation with PBE-GGA was carried out for crystalline CdTcNi2 at its relaxed geometry.

Lattice parameters (Å, degrees): 2.661 4.164 5.189 90.00 104.65 90.00
Element x y z (fractional)
Cd 0.000 0.000 0.000
Tc 0.324 0.500 0.653
Ni 0.606 0.500 0.210
Ni 0.739 0.000 0.484

Values from the calculation:
Total moment ... 0.0 μB per cell
Calculated formation energy ... 0.1838 eV per atom
E ... -0.406 Ry/atom

=====

(18)
A plane-wave DFT calculation with PBE-GGA was carried out for crystalline PmGePb at its relaxed geometry.

Lattice parameters (Å, degrees): 8.931 8.931 5.866 90.00 90.00 90.00
Element x y z (fractional)
Pm 0.000 0.187 0.000
Pm 0.000 0.813 0.000
Pm 0.187 0.000 0.500
Pm 0.813 0.000 0.500
Ge 0.141 0.500 0.000
Ge 0.500 0.141 0.500
Ge 0.500 0.859 0.500
Ge 0.859 0.500 0.000
Pb 0.000 0.335 0.500
Pb 0.000 0.665 0.500
Pb 0.335 0.000 0.000
Pb 0.665 0.000 0.000

Values from the calculation:
Total moment ... 0.0 μB per cell
Distance to the lowest polymorph of the same formula ... 0.7403 eV per atom
Calculated formation energy ... 0.1970 eV per atom
E ... -0.306 Ry/atom

=====

(19)
A plane-wave DFT calculation with PBE-GGA was carried out for crystalline Ce8Th3Zr at its relaxed geometry.

Lattice parameters (Å, degrees): 8.025 8.025 8.025 117.47 117.47 94.44
Element x y z (fractional)
Ce 0.118 0.118 0.735
Ce 0.198 0.198 0.473
Ce 0.274 0.802 0.000
Ce 0.383 0.383 0.265
Ce 0.617 0.882 0.000
Ce 0.726 0.726 0.527
Ce 0.802 0.274 0.000
Ce 0.882 0.617 0.000
Th 0.250 0.750 0.500
Th 0.500 0.500 0.000
Th 0.750 0.250 0.500
Zr 0.000 0.000 0.000

Values from the calculation:
Total moment ... 0.0 μB per cell
Calculated formation energy ... 0.5361 eV per atom
E ... -0.440 Ry/atom

=====

(20)
A plane-wave DFT calculation with PBE-GGA was carried out for crystalline SrLiSnN at its relaxed geometry.

Lattice parameters (Å, degrees): 3.387 4.332 10.480 90.00 90.00 90.00
Element x y z (fractional)
Sr 0.000 0.000 0.000
Sr 0.000 0.500 0.500
Li 0.000 0.000 0.334
Li 0.000 0.500 0.834
Sn 0.500 0.000 0.687
Sn 0.500 0.500 0.187
N 0.500 0.000 0.482
N 0.500 0.500 0.982

Values from the calculation:
Total moment ... 0.0 μB per cell
E ... -0.315 Ry/atom

=====

(21)
A plane-wave DFT calculation with PBE-GGA was carried out for crystalline Ce2Pr3PaN6 at its relaxed geometry.

Lattice parameters (Å, degrees): 6.246 6.246 6.271 99.55 99.55 119.98
Element x y z (fractional)
Ce 0.166 0.834 0.000
Ce 0.834 0.166 0.000
Pr 0.000 0.000 0.500
Pr 0.332 0.668 0.500
Pr 0.668 0.332 0.500
Pa 0.500 0.500 0.000
N 0.108 0.427 0.780
N 0.256 0.256 0.223
N 0.427 0.108 0.780
N 0.573 0.892 0.220
N 0.744 0.744 0.777
N 0.892 0.573 0.220

Values from the calculation:
Total moment ... 0.0 μB per cell
E ... -0.634 Ry/atom

=====

(22)
A plane-wave DFT calculation with PBE-GGA was carried out for crystalline Ca2OsPt at its relaxed geometry.

Lattice parameters (Å, degrees): 6.655 8.196 2.952 90.00 90.00 90.00
Element x y z (fractional)
Ca 0.250 0.250 0.000
Ca 0.250 0.750 0.000
Ca 0.750 0.250 0.000
Ca 0.750 0.750 0.000
Os 0.000 0.000 0.500
Os 0.500 0.500 0.500
Pt 0.000 0.500 0.500
Pt 0.500 0.000 0.500

Values from the calculation:
Total moment ... 0.0 μB per cell
Distance to the lowest polymorph of the same formula ... 0.1084 eV per atom
Calculated formation energy ... 0.0367 eV per atom
E ... -0.388 Ry/atom

=====

(23)
A plane-wave DFT calculation with PBE-GGA was carried out for crystalline Sr2CaHgP at its relaxed geometry.

Lattice parameters (Å, degrees): 5.872 5.872 5.471 90.00 90.00 90.00
Element x y z (fractional)
Sr 0.000 0.500 0.000
Sr 0.500 0.000 0.000
Ca 0.000 0.000 0.500
Hg 0.500 0.500 0.500
P 0.000 0.000 0.000

Values from the calculation:
Total moment ... 0.0 μB per cell
Calculated formation energy ... -0.6003 eV per atom
E ... -0.207 Ry/atom

=====

(24)
A plane-wave DFT calculation with PBE-GGA was carried out for crystalline TeP2Cl at its relaxed geometry.

Lattice parameters (Å, degrees): 6.750 6.750 6.750 90.00 90.00 90.00
Element x y z (fractional)
Te 0.000 0.000 0.000
Te 0.000 0.500 0.500
Te 0.500 0.000 0.500
Te 0.500 0.500 0.000
P 0.000 0.000 0.500
P 0.000 0.500 0.000
P 0.250 0.250 0.250
P 0.250 0.750 0.750
P 0.500 0.000 0.000
P 0.500 0.500 0.500
P 0.750 0.250 0.750
P 0.750 0.750 0.250
Cl 0.250 0.250 0.750
Cl 0.250 0.750 0.250
Cl 0.750 0.250 0.250
Cl 0.750 0.750 0.750

Values from the calculation:
Total moment ... 0.0 μB per cell
Distance to the lowest polymorph of the same formula ... 0.8011 eV per atom
E ... -0.239 Ry/atom

=====

(25)
A plane-wave DFT calculation with PBE-GGA was carried out for crystalline TlAgGeF2 at its relaxed geometry.

Lattice parameters (Å, degrees): 4.429 4.429 5.692 90.00 90.00 90.00
Element x y z (fractional)
Tl 0.000 0.000 0.000
Ag 0.500 0.500 0.500
Ge 0.000 0.000 0.500
F 0.000 0.500 0.000
F 0.500 0.000 0.000

Values from the calculation:
Total moment ... 0.0 μB per cell
E ... -0.240 Ry/atom